A plane-wave DFT calculation with GGA+U was carried out for a relaxed VReSbO2 crystal.

abc: 3.804 6.027 3.804
angles: 90.00 90.00 90.00
Atoms (fractional coordinates):
Re1 0.000 0.000 0.000
V1 0.500 0.500 0.500
O1 0.000 0.000 0.500
O2 0.500 0.000 0.000
Sb1 0.000 0.500 0.000

- spin magnetization (Bohr magnetons per cell) = 0.0
- symmetry = P4/mmm (123)
- total energy (eV per atom) = -6.795